Density functional theory data (PBE+U) for a relaxed AcDyV2O8 crystal. Values from VASP.

Cell and atoms, written as Quantum ESPRESSO input:
```
&SYSTEM
  ibrav = 0, nat = 12, ntyp = 4
/
ATOMIC_SPECIES
Ac 227.00 Ac.upf
Dy 162.50 Dy.upf
V 50.94 V.upf
O 16.00 O.upf
CELL_PARAMETERS angstrom
-3.735 3.735 3.277
3.735 -3.735 3.277
3.735 3.735 -3.277
ATOMIC_POSITIONS angstrom
Ac 0.000 0.000 0.000
Dy 3.735 0.000 1.639
V 0.000 0.000 3.277
V 0.000 3.735 1.639
O 2.345 3.735 -1.063
O 1.390 0.000 2.214
O 0.000 2.445 0.470
O 3.735 2.345 1.063
O 0.000 5.026 0.470
O 0.000 1.390 4.340
O -1.291 3.735 2.807
O 1.291 3.735 2.807
```

## Properties
total energy: -95.87 eV per cell
Fermi-level density of states: 0.00 states/eV per cell